First-principles (GGA-PBE) data for crystalline TaZnCu2 at its relaxed geometry, as listed in OQMD.

Results
ΔH_f (0 K) = 0.163 eV per atom

Unit cell a=6.0559 b=6.0559 c=6.0559 alpha=90.00 beta=90.00 gamma=90.00
With the nearest neighbours (Å) after each atom.
Sites, in units of the cell vectors:
Ta1 0.0000 0.0000 0.0000  4 Zn 2.62, 4 Cu 2.62
Ta2 0.0000 0.5000 0.5000  4 Cu 2.62, 4 Zn 2.62
Ta3 0.5000 0.0000 0.5000  4 Cu 2.62, 4 Zn 2.62
Ta4 0.5000 0.5000 0.0000  4 Cu 2.62, 4 Zn 2.62
Zn1 0.2500 0.2500 0.2500  4 Ta 2.62, 4 Cu 2.62
Zn2 0.2500 0.7500 0.7500  4 Ta 2.62, 4 Cu 2.62
Zn3 0.7500 0.2500 0.7500  4 Ta 2.62, 4 Cu 2.62
Zn4 0.7500 0.7500 0.2500  4 Ta 2.62, 4 Cu 2.62
Cu1 0.0000 0.0000 0.5000  4 Cu 2.62, 4 Zn 2.62
Cu2 0.0000 0.5000 0.0000  4 Cu 2.62, 4 Zn 2.62
Cu3 0.2500 0.2500 0.7500  4 Ta 2.62, 4 Cu 2.62
Cu4 0.2500 0.7500 0.2500  4 Ta 2.62, 4 Cu 2.62
Cu5 0.5000 0.0000 0.0000  4 Cu 2.62, 4 Zn 2.62
Cu6 0.5000 0.5000 0.5000  4 Cu 2.62, 4 Zn 2.62
Cu7 0.7500 0.2500 0.2500  4 Ta 2.62, 4 Cu 2.62
Cu8 0.7500 0.7500 0.7500  4 Ta 2.62, 4 Cu 2.62